# 1
KLi2Nb2O7: optimized geometry, PBE-GGA.

extended XYZ file:
```
12
Lattice="4.0072 0.0000 0.0000 0.0000 4.0953 0.0000 -2.0036 -2.0476 9.1202" Properties=species:S:1:pos:R:3 pbc="T T T"
O 2.0036 -0.0251 2.0717
O 2.0036 2.0082 4.0181
O 2.0036 2.0100 0.0000
O 0.0000 2.0199 1.9731
O 2.0036 -0.0278 7.1471
O 0.0000 2.0225 7.0485
O 0.0000 -0.0394 5.1022
Li 0.0000 2.0316 4.6775
Li 2.0036 -0.0160 4.4427
Nb 2.0036 2.1558 2.1165
Nb 0.0000 0.1082 7.0038
K 0.0000 0.0367 0.0000
```

ΔE_f (raw): -2.23 eV per atom
N(E_F): 5.09 states/eV per cell

# 2
NiBiSb2Ru: optimized geometry, PBE-GGA.

extended XYZ file:
```
5
Lattice="-0.8214 5.1495 2.5032 -0.1824 -2.0549 4.1675 5.7212 0.6380 0.5649" Properties=species:S:1:pos:R:3 pbc="T T T"
Ru 2.3587 1.8663 3.6178
Sb 2.8606 0.3190 0.2825
Sb -0.4107 2.5748 1.2516
Ni -0.0912 -1.0274 2.0837
Bi 0.0000 0.0000 0.0000
```

ΔE_f (raw): 1.65 eV per atom
N(E_F): 5.48 states/eV per cell